Below is Ca2Be2SiRh5 after structural relaxation, with properties calculated at the GGA-PBE level.

The space group is P4/mbm (No. 127) and the conventional cell measures 9.725, 9.725 and 3.050 Å, with angles of 90.00, 90.00 and 90.00 degrees. The distinct sites, in fractional coordinates, are Ca at (0.176, 0.324, 0.000), Be at (0.124, 0.624, 0.000), Si at (0.000, 0.000, 0.000), Rh at (0.000, 0.500, 0.500) and Rh at (0.063, 0.797, 0.500).

As for the volume: 14.4 A^3/atom.

Below is SnOsWI2 after structural relaxation, with properties calculated at the GGA-PBE level.

The space group is P4/mmm (No. 123) and the conventional cell measures 5.425, 5.425 and 4.869 Å, with angles of 90.00, 90.00 and 90.00 degrees. The distinct sites, in fractional coordinates, are Sn at (0.000, 0.000, 0.000), Os at (0.500, 0.500, 0.000), W at (0.500, 0.500, 0.500) and I at (0.000, 0.500, 0.500).

As for the volume: 28.7 A^3/atom.

Below is InSi2Mo after structural relaxation, with properties calculated at the GGA-PBE level.

The space group is C2/m (No. 12) and the conventional cell measures 8.538, 3.241 and 5.100 Å, with angles of 90.00, 99.38 and 90.00 degrees. The distinct sites, in fractional coordinates, are In at (0.000, 0.000, 0.000), Si at (0.230, 0.000, 0.672) and Mo at (0.000, 0.500, 0.500).

As for the volume: 17.4 A^3/atom.

Below is Mg2Zn6Ni after structural relaxation, with properties calculated at the GGA-PBE level.

The space group is Cmmm (No. 65) and the conventional cell measures 7.348, 13.229 and 3.017 Å, with angles of 90.00, 90.00 and 90.00 degrees. The distinct sites, in fractional coordinates, are Mg at (0.000, 0.181, 0.000), Zn at (0.176, 0.342, 0.500), Zn at (0.209, 0.000, 0.000) and Ni at (0.000, 0.500, 0.500).

The value obtained for the energy relative to the elements is -0.030 eV per atom. As for the volume: 16.3 A^3/atom.

Below is Dy6AlIn3 after structural relaxation, with properties calculated at the GGA-PBE level.

The space group is P2_1/m (No. 11) and the conventional cell measures 9.234, 5.283 and 11.608 Å, with angles of 90.00, 107.65 and 90.00 degrees. The distinct sites, in fractional coordinates, are Dy at (0.035, 0.250, 0.412), Dy at (0.164, 0.750, 0.171), Dy at (0.265, 0.250, 0.002), Dy at (0.350, 0.750, 0.819), Dy at (0.365, 0.250, 0.331), Dy at (0.401, 0.250, 0.624), Al at (0.456, 0.750, 0.103), In at (0.026, 0.750, 0.882), In at (0.120, 0.250, 0.718) and In at (0.275, 0.750, 0.469).

The value obtained for the energy relative to the elements is -0.352 eV per atom. As for the volume: 27.0 A^3/atom.

Below is YPbW after structural relaxation, with properties calculated at the GGA-PBE level.

The space group is P-6m2 (No. 187) and the conventional cell measures 5.0715, 5.0715 and 3.1070 Å, with angles of 90.00, 90.00 and 120.00 degrees. The distinct sites, in fractional coordinates, are Y at (0.0000, 0.0000, 0.0000), Pb at (0.6667, 0.3333, 0.5000) and W at (0.3333, 0.6667, 0.5000).

The value obtained for the energy relative to the elements is 0.549 eV per atom. As for the volume: 23.1 A^3/atom. The energy above the most stable polymorph in this dataset comes out at 82 meV/atom.

| no. | E (eV for the cell shown) |
| --- | --- |
| 1 | -119.69 |
| 2 | -24.33 |
| 3 | -47.37 |
| 4 | -33.77 |
| 5 | -86.19 |
| 6 | -21.48 |